Entry 1:
Below is crystalline Cs2In2Ga at its relaxed geometry, with properties calculated at the GGA-PBE level.

The calculation puts the total DFT energy (no corrections) at -2.1070 eV/atom. The density of states at the Fermi level is 0.52 states/eV/atom. The relative energy among the computed polymorphs comes out at 0.0 meV/atom. For the formation energy, the calculation gives -64.8 meV/atom.

It has space group C2/m (No. 12), with a = 15.128 Å, b = 4.734 Å, c = 13.437 Å, α = 90.00°, β = 119.04° and γ = 90.00°. The distinct sites, in fractional coordinates, are Cs at (0.021, 0.000, 0.159), Cs at (0.213, 0.000, 0.617), In at (0.004, 0.500, 0.613), In at (0.208, 0.500, 0.053) and Ga at (0.181, 0.500, 0.828).


Entry 2:
Below is crystalline CsIn9Ga2 at its relaxed geometry, with properties calculated at the GGA-PBE level.

The calculation puts the total DFT energy (no corrections) at -2.6188 eV/atom. The density of states at the Fermi level is 0.56 states/eV/atom. For the formation energy, the calculation gives 10.6 meV/atom.

It has space group P6/mmm (No. 191), with a = 9.6831 Å, b = 9.6831 Å, c = 4.4983 Å, α = 90.00°, β = 90.00° and γ = 120.00°. The distinct sites, in fractional coordinates, are Cs at (0.0000, 0.0000, 0.0000), In at (0.0000, 0.5000, 0.0000), In at (0.2066, 0.4132, 0.5000) and Ga at (0.3333, 0.6667, 0.0000).


Entry 3:
Below is crystalline CsIn2Ga6 at its relaxed geometry, with properties calculated at the GGA-PBE level.

The calculation puts the total DFT energy (no corrections) at -2.7331 eV/atom. The density of states at the Fermi level is 0.45 states/eV/atom. For the formation energy, the calculation gives -11.8 meV/atom.

It has space group Immm (No. 71), with a = 4.332 Å, b = 9.417 Å, c = 12.099 Å, α = 90.00°, β = 90.00° and γ = 90.00°. The distinct sites, in fractional coordinates, are Cs at (0.000, 0.000, 0.000), In at (0.000, 0.500, 0.162), Ga at (0.000, 0.139, 0.500) and Ga at (0.000, 0.241, 0.304).


Entry 4:
Below is crystalline CsInGa at its relaxed geometry, with properties calculated at the GGA-PBE level.

The calculation puts the total DFT energy (no corrections) at -2.2446 eV/atom. The density of states at the Fermi level is 0.92 states/eV/atom. The relative energy among the computed polymorphs comes out at 61.6 meV/atom. For the formation energy, the calculation gives -38.4 meV/atom.

It has space group P3m1 (No. 156), with a = 4.7175 Å, b = 4.7175 Å, c = 6.3050 Å, α = 90.00°, β = 90.00° and γ = 120.00°. The distinct sites, in fractional coordinates, are Cs at (0.0000, 0.0000, 0.0000), In at (0.3333, 0.6667, 0.5000) and Ga at (0.6667, 0.3333, 0.5012).


Entry 5:
Below is crystalline CsIn11Ga at its relaxed geometry, with properties calculated at the GGA-PBE level.

The calculation puts the total DFT energy (no corrections) at -2.6312 eV/atom. The density of states at the Fermi level is 0.38 states/eV/atom. For the formation energy, the calculation gives -15.6 meV/atom.

It has space group C2/m (No. 12), with a = 6.342 Å, b = 15.315 Å, c = 8.259 Å, α = 90.00°, β = 109.61° and γ = 90.00°. The distinct sites, in fractional coordinates, are Cs at (0.000, 0.000, 0.000), In at (0.000, 0.000, 0.500), In at (0.104, 0.392, 0.225), In at (0.187, 0.176, 0.363), In at (0.250, 0.250, 0.000) and Ga at (0.000, 0.500, 0.500).


Entry 6:
Below is crystalline CsIn2Ga at its relaxed geometry, with properties calculated at the GGA-PBE level.

The calculation puts the total DFT energy (no corrections) at -2.4065 eV/atom. The density of states at the Fermi level is 0.35 states/eV/atom. For the formation energy, the calculation gives -67.2 meV/atom.

It has space group R-3m (No. 166, hexagonal axes), with a = 4.6464 Å, b = 4.6464 Å, c = 23.8537 Å, α = 90.00°, β = 90.00° and γ = 120.00°. The distinct sites, in fractional coordinates, are Cs at (0.0000, 0.0000, 0.0000), In at (0.0000, 0.0000, 0.2124) and Ga at (0.0000, 0.0000, 0.5000).


Entry 7:
Below is crystalline Cs3In4Ga2 at its relaxed geometry, with properties calculated at the GGA-PBE level.

The calculation puts the total DFT energy (no corrections) at -2.2585 eV/atom. The density of states at the Fermi level is 0.56 states/eV/atom. For the formation energy, the calculation gives -84.3 meV/atom.

It has space group C2/c (No. 15), with a = 18.747 Å, b = 10.451 Å, c = 7.639 Å, α = 90.00°, β = 111.65° and γ = 90.00°. The distinct sites, in fractional coordinates, are Cs at (0.000, 0.013, 0.250), Cs at (0.100, 0.386, 0.103), In at (0.144, 0.231, 0.648), In at (0.220, 0.107, 0.050) and Ga at (0.229, 0.134, 0.420).


Entry 8:
Below is crystalline Cs3InGa at its relaxed geometry, with properties calculated at the GGA-PBE level.

The calculation puts the total DFT energy (no corrections) at -1.3223 eV/atom. The density of states at the Fermi level is 1.17 states/eV/atom. The relative energy among the computed polymorphs comes out at 0.0 meV/atom. For the formation energy, the calculation gives 342.9 meV/atom.

It has space group Pm-3m (No. 221), with a = 7.169 Å, b = 7.169 Å, c = 7.169 Å, α = 90.00°, β = 90.00° and γ = 90.00°. The distinct sites, in fractional coordinates, are Cs at (0.000, 0.000, 0.500), In at (0.500, 0.500, 0.500) and Ga at (0.000, 0.000, 0.000).


Entry 9:
Below is crystalline CsIn3Ga at its relaxed geometry, with properties calculated at the GGA-PBE level.

The calculation puts the total DFT energy (no corrections) at -2.2886 eV/atom. The density of states at the Fermi level is 0.92 states/eV/atom. The relative energy among the computed polymorphs comes out at 119.4 meV/atom. For the formation energy, the calculation gives 130.6 meV/atom.

It has space group Pm-3m (No. 221), with a = 5.675 Å, b = 5.675 Å, c = 5.675 Å, α = 90.00°, β = 90.00° and γ = 90.00°. The distinct sites, in fractional coordinates, are Cs at (0.000, 0.000, 0.000), In at (0.000, 0.500, 0.500) and Ga at (0.500, 0.500, 0.500).


Entry 10:
Below is crystalline CsIn8Ga2 at its relaxed geometry, with properties calculated at the GGA-PBE level.

The calculation puts the total DFT energy (no corrections) at -2.5252 eV/atom. The density of states at the Fermi level is 0.36 states/eV/atom. For the formation energy, the calculation gives 94.3 meV/atom.

It has space group P4/mmm (No. 123), with a = 6.215 Å, b = 6.215 Å, c = 10.870 Å, α = 90.00°, β = 90.00° and γ = 90.00°. The distinct sites, in fractional coordinates, are Cs at (0.000, 0.000, 0.000), In at (0.251, 0.251, 0.320) and Ga at (0.000, 0.500, 0.500).


Entry 11:
Below is crystalline CsIn3Ga at its relaxed geometry, with properties calculated at the GGA-PBE level.

The calculation puts the total DFT energy (no corrections) at -2.4080 eV/atom. The density of states at the Fermi level is 0.21 states/eV/atom. The relative energy among the computed polymorphs comes out at 0.0 meV/atom. For the formation energy, the calculation gives 11.2 meV/atom.

It has space group P6_3/mmc (No. 194), with a = 7.7057 Å, b = 7.7057 Å, c = 6.4282 Å, α = 90.00°, β = 90.00° and γ = 120.00°. The distinct sites, in fractional coordinates, are Cs at (0.3333, 0.6667, 0.2500), In at (0.1814, 0.3628, 0.7500) and Ga at (0.0000, 0.0000, 0.0000).


Entry 12:
Below is crystalline Cs2In2Ga at its relaxed geometry, with properties calculated at the GGA-PBE level.

The calculation puts the total DFT energy (no corrections) at -1.9937 eV/atom. The density of states at the Fermi level is 0.56 states/eV/atom. The relative energy among the computed polymorphs comes out at 113.3 meV/atom. For the formation energy, the calculation gives 48.4 meV/atom.

It has space group P4/mbm (No. 127), with a = 7.606 Å, b = 7.606 Å, c = 6.677 Å, α = 90.00°, β = 90.00° and γ = 90.00°. The distinct sites, in fractional coordinates, are Cs at (0.181, 0.319, 0.000), In at (0.140, 0.640, 0.500) and Ga at (0.000, 0.000, 0.500).


Entry 13:
Below is crystalline Cs2In2Ga at its relaxed geometry, with properties calculated at the GGA-PBE level.

The calculation puts the total DFT energy (no corrections) at -1.7159 eV/atom. The density of states at the Fermi level is 1.13 states/eV/atom. The relative energy among the computed polymorphs comes out at 391.1 meV/atom. For the formation energy, the calculation gives 326.3 meV/atom.

It has space group P4/mbm (No. 127), with a = 11.391 Å, b = 11.391 Å, c = 3.568 Å, α = 90.00°, β = 90.00° and γ = 90.00°. The distinct sites, in fractional coordinates, are Cs at (0.199, 0.301, 0.000), In at (0.091, 0.591, 0.500) and Ga at (0.000, 0.000, 0.000).


Entry 14:
Below is crystalline CsInGa at its relaxed geometry, with properties calculated at the GGA-PBE level.

The calculation puts the total DFT energy (no corrections) at -2.3062 eV/atom. The density of states at the Fermi level is 0.39 states/eV/atom. The relative energy among the computed polymorphs comes out at 0.0 meV/atom. For the formation energy, the calculation gives -100.0 meV/atom.

It has space group P2_12_12_1 (No. 19), with a = 4.642 Å, b = 5.138 Å, c = 19.145 Å, α = 90.00°, β = 90.00° and γ = 90.00°. The distinct sites, in fractional coordinates, are Cs at (0.244, 0.067, 0.168), In at (0.243, 0.903, 0.925) and Ga at (0.243, 0.411, 0.996).


Entry 15:
Below is crystalline CsInGa at its relaxed geometry, with properties calculated at the GGA-PBE level.

The calculation puts the total DFT energy (no corrections) at -2.2922 eV/atom. The density of states at the Fermi level is 0.36 states/eV/atom. The relative energy among the computed polymorphs comes out at 14.1 meV/atom. For the formation energy, the calculation gives -85.9 meV/atom.

It has space group P-1 (No. 2), with a = 4.397 Å, b = 7.335 Å, c = 7.440 Å, α = 96.75°, β = 107.16° and γ = 90.22°. The distinct sites, in fractional coordinates, are Cs at (0.121, 0.379, 0.238), In at (0.414, 0.122, 0.828) and Ga at (0.218, 0.913, 0.438).


Entry 16:
Below is crystalline Cs2In5Ga3 at its relaxed geometry, with properties calculated at the GGA-PBE level.

The calculation puts the total DFT energy (no corrections) at -2.5324 eV/atom. The density of states at the Fermi level is 0.51 states/eV/atom. The relative energy among the computed polymorphs comes out at 7.6 meV/atom. For the formation energy, the calculation gives -84.4 meV/atom.

It has space group P-4m2 (No. 115), with a = 4.979 Å, b = 4.979 Å, c = 12.339 Å, α = 90.00°, β = 90.00° and γ = 90.00°. The distinct sites, in fractional coordinates, are Cs at (0.000, 0.500, 0.238), In at (0.000, 0.000, 0.500), In at (0.000, 0.500, 0.647), In at (0.500, 0.500, 0.000), In at (0.500, 0.500, 0.500), Ga at (0.000, 0.000, 0.000) and Ga at (0.000, 0.500, 0.882).


Entry 17:
Below is crystalline Cs2InGa at its relaxed geometry, with properties calculated at the GGA-PBE level.

The calculation puts the total DFT energy (no corrections) at -1.6038 eV/atom. The density of states at the Fermi level is 0.95 states/eV/atom. The relative energy among the computed polymorphs comes out at 302.2 meV/atom. For the formation energy, the calculation gives 264.3 meV/atom.

It has space group Fm-3m (No. 225), with a = 9.059 Å, b = 9.059 Å, c = 9.059 Å, α = 90.00°, β = 90.00° and γ = 90.00°. The distinct sites, in fractional coordinates, are Cs at (0.250, 0.250, 0.250), In at (0.000, 0.000, 0.000) and Ga at (0.000, 0.000, 0.500).


Entry 18:
Below is crystalline CsIn4Ga2 at its relaxed geometry, with properties calculated at the GGA-PBE level.

The calculation puts the total DFT energy (no corrections) at -2.6073 eV/atom. The density of states at the Fermi level is 0.35 states/eV/atom. For the formation energy, the calculation gives -55.8 meV/atom.

It has space group Cmmm (No. 65), with a = 4.914 Å, b = 16.647 Å, c = 4.964 Å, α = 90.00°, β = 90.00° and γ = 90.00°. The distinct sites, in fractional coordinates, are Cs at (0.000, 0.000, 0.000), In at (0.000, 0.184, 0.500), In at (0.000, 0.315, 0.000) and Ga at (0.000, 0.412, 0.500).


Entry 19:
Below is crystalline CsIn2Ga2 at its relaxed geometry, with properties calculated at the GGA-PBE level.

The calculation puts the total DFT energy (no corrections) at -2.5672 eV/atom. The density of states at the Fermi level is 0.46 states/eV/atom. The relative energy among the computed polymorphs comes out at 0.0 meV/atom. For the formation energy, the calculation gives -90.4 meV/atom.

It has space group I4/mmm (No. 139), with a = 4.941 Å, b = 4.941 Å, c = 11.981 Å, α = 90.00°, β = 90.00° and γ = 90.00°. The distinct sites, in fractional coordinates, are Cs at (0.000, 0.000, 0.000), In at (0.000, 0.500, 0.250) and Ga at (0.000, 0.000, 0.386).


Entry 20:
Below is crystalline CsIn2Ga at its relaxed geometry, with properties calculated at the GGA-PBE level.

The calculation puts the total DFT energy (no corrections) at -2.3677 eV/atom. The density of states at the Fermi level is 0.39 states/eV/atom. For the formation energy, the calculation gives -28.4 meV/atom.

It has space group P4/mmm (No. 123), with a = 3.777 Å, b = 3.777 Å, c = 9.072 Å, α = 90.00°, β = 90.00° and γ = 90.00°. The distinct sites, in fractional coordinates, are Cs at (0.000, 0.000, 0.000), In at (0.500, 0.500, 0.327) and Ga at (0.000, 0.000, 0.500).